TeMo2As after structural relaxation, computed with PBE.

Calculated values
The calculation puts the density at 8.8 g/cm3. As for the uncorrected formation energy: 22.8 kJ per mole of atoms. As for the energy: -7.1275 eV per atom.

abc: 4.347 4.347 5.856
angles: 76.87 76.87 44.18
Positions (direct):
Mo  0.994  0.994  0.060
Mo  0.506  0.506  0.440
Te  0.750  0.750  0.750
As  0.250  0.250  0.250



Tb2ScS3 after structural relaxation, computed with PBE.

Calculated values
The calculation puts the density at 6.3 g/cm3. As for the uncorrected formation energy: -188.3 kJ per mole of atoms. As for the energy: -6.6137 eV per atom.

abc: 3.860 3.860 9.386
angles: 90.00 90.00 120.00
Positions (direct):
Tb  0.667  0.333  0.327
Tb  0.333  0.667  0.673
Sc  0.000  0.000  0.000
S  0.667  0.333  0.849
S  0.333  0.667  0.151
S  0.000  0.000  0.500



GaPb2Br8 after structural relaxation, computed with PBE.

Calculated values
The calculation puts the density at 4.5 g/cm3. As for the uncorrected formation energy: -67.6 kJ per mole of atoms. As for the energy: -2.8663 eV per atom.

abc: 7.228 6.967 9.633
angles: 82.85 119.05 99.66
Positions (direct):
Pb  0.254  0.498  0.263
Pb  0.746  0.502  0.737
Br  0.974  0.900  0.744
Br  0.184  0.340  0.950
Br  0.306  0.584  0.569
Br  0.694  0.416  0.431
Br  0.816  0.660  0.050
Br  0.026  0.100  0.256
Br  0.373  0.895  0.159
Br  0.627  0.105  0.841
Ga  0.000  0.000  0.000



Ac6Sm5Er2 after structural relaxation, computed with PBE.

Calculated values
The calculation puts the density at 8.0 g/cm3. As for the energy: -4.2523 eV per atom.

abc: 3.746 11.323 23.970
angles: 90.00 90.00 90.00
Positions (direct):
Ac  0.000  0.148  0.385
Ac  0.000  0.852  0.615
Ac  0.000  0.648  0.115
Ac  0.000  0.352  0.885
Ac  0.500  0.334  0.134
Ac  0.500  0.666  0.866
Ac  0.500  0.834  0.366
Ac  0.500  0.166  0.634
Ac  0.000  0.519  0.387
Ac  0.000  0.481  0.613
Ac  0.000  0.019  0.113
Ac  0.000  0.981  0.887
Sm  0.500  0.336  0.497
Sm  0.500  0.664  0.503
Sm  0.500  0.836  0.003
Sm  0.500  0.164  0.997
Sm  0.500  0.586  0.250
Sm  0.500  0.414  0.750
Sm  0.500  0.086  0.250
Sm  0.500  0.914  0.750
Sm  0.500  0.500  0.000
Sm  0.500  0.000  0.500
Er  0.000  0.336  0.266
Er  0.000  0.664  0.734
Er  0.000  0.836  0.234
Er  0.000  0.164  0.766



MgS2ClF after structural relaxation, computed with PBE.

Calculated values
The calculation puts the density at 2.5 g/cm3. As for the uncorrected formation energy: -6.1 kJ per mole of atoms. As for the energy: -2.7764 eV per atom.

abc: 4.130 4.130 5.575
angles: 90.00 90.00 90.00
Positions (direct):
S  0.000  0.500  0.000
S  0.500  0.000  0.000
F  0.000  0.000  0.000
Mg  0.500  0.500  0.500
Cl  0.000  0.000  0.500



InP4Pb after structural relaxation, computed with PBE.

Calculated values
The calculation puts the density at 5.3 g/cm3. As for the energy: -4.3062 eV per atom.

abc: 5.825 5.825 5.825
angles: 60.00 60.00 60.00
Positions (direct):
In  0.000  0.000  0.000
P  0.956  0.348  0.348
P  0.348  0.348  0.956
P  0.348  0.956  0.348
P  0.348  0.348  0.348
Pb  0.750  0.750  0.750



YZn2P2 after structural relaxation, computed with PBE.

Calculated values
The calculation puts the density at 5.0 g/cm3. As for the energy: -4.6295 eV per atom.

abc: 4.085 4.085 6.495
angles: 90.00 90.00 120.00
Positions (direct):
P  0.667  0.333  0.261
P  0.333  0.667  0.739
Y  0.000  0.000  0.000
Zn  0.667  0.333  0.647
Zn  0.333  0.667  0.353



Mg2SbBr after structural relaxation, computed with PBE.

Calculated values
The calculation puts the density at 3.7 g/cm3. As for the uncorrected formation energy: -61.0 kJ per mole of atoms. As for the energy: -2.8782 eV per atom.

abc: 4.467 4.467 7.754
angles: 65.12 65.12 55.21
Positions (direct):
Br  0.750  0.750  0.750
Mg  0.025  0.025  0.052
Mg  0.475  0.475  0.448
Sb  0.250  0.250  0.250



MgNp2Ga6 after structural relaxation, computed with PBE.

Calculated values
The calculation puts the density at 9.0 g/cm3. As for the energy: -5.2364 eV per atom.

abc: 2.877 8.245 8.245
angles: 59.98 90.00 90.00
Last column: magnetic moment on the atom in μB.
Positions (direct):
Mg  0.000  0.000  0.000  0.00
Np  0.000  0.333  0.333  3.93
Np  0.000  0.667  0.667  3.93
Ga  0.499  0.675  0.000  -0.03
Ga  0.501  0.000  0.325  -0.03
Ga  0.501  0.325  0.000  -0.03
Ga  0.500  0.675  0.325  -0.03
Ga  0.499  0.000  0.675  -0.03
Ga  0.500  0.325  0.675  -0.03



Ce2ErTh3As6 after structural relaxation, computed with PBE.

Calculated values
The calculation puts the density at 8.3 g/cm3. As for the energy: -6.9831 eV per atom.

abc: 4.219 8.427 9.422
angles: 102.82 102.94 90.00
Last column: magnetic moment on the atom in μB.
Positions (direct):
Ce  0.834  0.668  0.668  0.55
Ce  0.166  0.332  0.332  0.55
Er  0.500  0.000  0.000  0.00
Th  0.500  0.500  0.000  0.02
Th  0.833  0.166  0.666  0.02
Th  0.167  0.834  0.334  0.02
As  0.336  0.916  0.673  -0.01
As  0.667  0.582  0.334  -0.01
As  0.664  0.084  0.327  -0.01
As  0.000  0.243  0.000  0.00
As  0.000  0.757  0.000  0.00
As  0.333  0.418  0.666  -0.01



NaIn10Ga2 after structural relaxation, computed with PBE.

Calculated values
The calculation puts the density at 6.1 g/cm3. As for the energy: -2.6505 eV per atom.

abc: 6.206 8.263 8.076
angles: 81.70 67.41 67.94
Positions (direct):
Na  0.000  0.000  0.000
In  0.351  0.638  0.660
In  0.649  0.362  0.340
In  0.989  0.362  0.660
In  0.011  0.638  0.340
In  0.000  0.000  0.500
In  0.500  0.000  0.500
In  0.286  0.221  0.208
In  0.714  0.779  0.792
In  0.506  0.779  0.208
In  0.494  0.221  0.792
Ga  0.000  0.500  0.000
Ga  0.500  0.500  0.000



In2GaNi7P2 after structural relaxation, computed with PBE.

Calculated values
The calculation puts the density at 7.7 g/cm3. As for the energy: -5.2506 eV per atom.

abc: 3.664 3.664 12.507
angles: 83.36 83.36 89.57
Positions (direct):
In  0.887  0.887  0.375
In  0.113  0.113  0.625
Ga  0.000  0.000  0.000
Ni  0.500  0.500  0.000
Ni  0.368  0.368  0.423
Ni  0.632  0.632  0.577
Ni  0.945  0.443  0.145
Ni  0.443  0.945  0.145
Ni  0.557  0.055  0.855
Ni  0.055  0.557  0.855
P  0.592  0.592  0.754
P  0.408  0.408  0.246



- Which value of energy does entry 6 give?
  -4.3062 eV per atom